# Pr3Ho4Cd4

A relaxed Pr3Ho4Cd4 crystal (PBE, Alexandria).

Summary:
Volume   663.7 Å³ per cell
Calculated total energy   -3.4200 eV/atom
Formation energy   -0.12 eV per atom

a = 5.3094 Å, b = 7.3528 Å, c = 17.0019 Å
α = 90.00°, β = 90.00°, γ = 90.00°
Space group Immm (No. 71)
Symmetry-distinct sites (fractional):
1 Pr 0.0000 0.0000 0.0000
2 Pr 0.0000 0.5000 0.1084
3 Ho 0.0000 0.2703 0.3201
4 Cd 0.0000 0.0000 0.1877
5 Cd 0.0000 0.2002 0.5000